Entry 1:
Entry from Alexandria via LeMat-Bulk: Zr8Tl2In after structural relaxation (GGA-PBE).

Values from the calculation:
total moment: 0.000 μB/atom
density of states at the Fermi level: 11.080 states/eV per cell
final energy: -6.836 eV per atom
symmetry: No. 12
DFT formation energy: 59.8 meV per atom

Cell: 5.2799 8.1124 8.1124 Å, 121.23 103.59 103.59°
Last column: nearest neighbours and their distance in Å.
Positions (direct):
1 Zr 0.1667 0.3169 0.0974  4 Zr 2.90-3.17, 2 Tl 3.10-3.13
2 Zr 0.2886 0.5862 0.5862  3 Zr 2.68-2.98, 1 In 2.93
3 Zr 0.7114 0.4138 0.4138  3 Zr 2.68-2.98, 1 In 2.93
4 Zr 0.8333 0.9026 0.6831  4 Zr 2.90-3.17, 2 Tl 3.10-3.13
5 Zr 0.1667 0.0974 0.3169  4 Zr 2.90-3.17, 2 Tl 3.10-3.13
6 Zr 0.5000 0.7872 0.2128  2 Tl 2.95, 1 In 3.01, 4 Zr 3.27-3.30
7 Tl 0.0000 0.6941 0.3059  8 Zr 2.95-3.13
8 Zr 0.8333 0.6831 0.9026  4 Zr 2.90-3.17, 2 Tl 3.10-3.13
9 In 0.5000 0.0000 0.0000  4 Zr 2.93-3.01
10 Tl 0.0000 0.3059 0.6941  8 Zr 2.95-3.13
11 Zr 0.5000 0.2128 0.7872  2 Tl 2.95, 1 In 3.01, 4 Zr 3.27-3.30

=====

Entry 2:
Entry from Alexandria via LeMat-Bulk: Pu3MgPt8 after structural relaxation (GGA-PBE).

Values from the calculation:
total moment: 1.269 μB/atom
density of states at the Fermi level: 33.689 states/eV per cell
final energy: -8.544 eV per atom
symmetry: No. 160
DFT formation energy: -801.3 meV per atom

Cell: 5.4213 5.4213 9.3762 Å, 73.20 73.20 60.00°
Last column: nearest neighbours and their distance in Å.
Positions (direct):
1 Pt 0.6874 0.6874 0.9377  6 Pt 2.72
2 Pt 0.9377 0.4394 0.6853  6 Pt 2.70-2.72
3 Pu 0.9984 0.9984 0.0048  12 Pt 3.16-3.23, 1 Mg 3.31, 3 Pu 3.34
4 Mg 0.8737 0.8737 0.3788  12 Pt 3.13-3.19, 4 Pu 3.29-3.31
5 Pt 0.4394 0.9377 0.6853  6 Pt 2.70-2.72
6 Pu 0.3755 0.3755 0.8736  12 Pt 3.18-3.20, 4 Pu 3.34-3.35
7 Pt 0.1879 0.1879 0.4363  6 Pt 2.69-2.70
8 Pt 0.4368 0.4368 0.1894  6 Pt 2.69-2.72
9 Pu 0.5017 0.5017 0.4949  12 Pt 3.12-3.19, 3 Mg 3.29, 1 Pu 3.35
10 Pt 0.9377 0.9377 0.6853  6 Pt 2.70-2.72
11 Pt 0.4368 0.9371 0.1894  6 Pt 2.69-2.72
12 Pt 0.9371 0.4368 0.1894  6 Pt 2.69-2.72

=====

Entry 3:
Entry from Alexandria via LeMat-Bulk: TlTc2Au after structural relaxation (GGA-PBE).

Values from the calculation:
total moment: 0.002 μB/atom
density of states at the Fermi level: 5.263 states/eV per cell
final energy: -5.878 eV per atom
symmetry: No. 65
DFT formation energy: 715.7 meV per atom

Cell: 5.0568 5.0568 2.9660 Å, 90.00 90.00 114.13°
Last column: nearest neighbours and their distance in Å.
Positions (direct):
1 Au 0.0000 0.5000 0.5000  2 Tl 2.75, 8 Tc 2.93, 2 Au 2.97
2 Tc 0.0000 0.0000 0.0000  4 Tc 2.75-2.97, 4 Au 2.93, 4 Tl 2.93
3 Tl 0.5000 0.0000 0.5000  2 Au 2.75, 8 Tc 2.93, 2 Tl 2.97
4 Tc 0.5000 0.5000 0.0000  4 Tc 2.75-2.97, 4 Tl 2.93, 4 Au 2.93

=====

Entry 4:
Entry from Alexandria via LeMat-Bulk: Rb2LaO2F2 after structural relaxation (GGA-PBE).

Values from the calculation:
formation energy without anion corrections: -2.604 eV per atom
total moment: 0.145 μB/atom
density of states at the Fermi level: 1.938 states/eV per cell
final energy: -5.536 eV per atom
symmetry: No. 139

Cell: 4.5680 4.5680 8.0769 Å, 106.43 106.43 90.00°
Last column: nearest neighbours and their distance in Å.
Positions (direct):
1 Rb 0.3506 0.3506 0.7012  1 F 2.76
2 Rb 0.6494 0.6494 0.2988  1 F 2.76
3 La 0.0000 0.0000 0.0000  4 O 2.28, 2 F 2.43
4 F 0.1639 0.1639 0.3277  1 La 2.43
5 O 0.5000 0.0000 0.0000  2 La 2.28
6 O 0.0000 0.5000 0.0000  2 La 2.28
7 F 0.8361 0.8361 0.6723  1 La 2.43

=====

Entry 5:
Entry from Alexandria via LeMat-Bulk: Th7Tl2Pt2 after structural relaxation (GGA-PBE).

Values from the calculation:
total moment: 0.000 μB/atom
density of states at the Fermi level: 15.296 states/eV per cell
final energy: -6.491 eV per atom
symmetry: No. 65
DFT formation energy: -241.0 meV per atom

Cell: 7.1241 7.0162 7.1241 Å, 90.00 106.23 90.00°
Last column: nearest neighbours and their distance in Å.
Positions (direct):
1 Pt 0.2648 0.0000 0.7352  7 Th 2.87-3.20
2 Th 0.4997 0.2721 0.0002  2 Pt 2.87, 1 Th 3.20
3 Th 0.0002 0.7279 0.4997  2 Pt 2.87, 1 Th 3.20
4 Th 0.5003 0.7279 0.9998  2 Pt 2.87, 1 Th 3.20
5 Th 0.5002 0.7522 0.4998  2 Pt 3.19-3.20, 2 Tl 3.34, 6 Th 3.48-3.57
6 Th 0.4998 0.2478 0.5002  2 Pt 3.19-3.20, 2 Tl 3.34, 6 Th 3.48-3.57
7 Tl 0.1693 0.5000 0.1693  1 Tl 2.90
8 Th 0.0000 0.0000 0.0000  2 Pt 3.02
9 Tl 0.8307 0.5000 0.8307  1 Tl 2.90
10 Pt 0.7352 0.0000 0.2648  7 Th 2.87-3.20
11 Th 0.9998 0.2721 0.5003  2 Pt 2.87, 1 Th 3.20

=====

Entry 6:
Entry from Alexandria via LeMat-Bulk: SbPbCl2 after structural relaxation (GGA-PBE).

Values from the calculation:
formation energy without anion corrections: -0.414 eV per atom
total moment: 0.000 μB/atom
density of states at the Fermi level: 1.614 states/eV per cell
final energy: -3.295 eV per atom
symmetry: No. 12

Cell: 5.9748 5.9748 3.5625 Å, 73.22 73.22 108.62°
Last column: nearest neighbours and their distance in Å.
Positions (direct):
1 Cl 0.0000 0.0000 0.0000  2 Pb 3.00, 2 Sb 3.00
2 Cl 0.5000 0.5000 0.0000  2 Sb 3.00, 2 Pb 3.00
3 Pb 0.5000 0.0000 0.5000  4 Cl 3.00
4 Sb 0.0000 0.5000 0.5000  4 Cl 3.00

=====

Entry 7:
Entry from Alexandria via LeMat-Bulk: YIn3C after structural relaxation (GGA-PBE).

Values from the calculation:
total moment: 0.015 μB/atom
density of states at the Fermi level: 4.322 states/eV per cell
final energy: -2.891 eV per atom
symmetry: No. 221
DFT formation energy: 1889.8 meV per atom

Cell: 5.9878 5.9878 5.9878 Å, 90.00 90.00 90.00°
Last column: nearest neighbours and their distance in Å.
Positions (direct):
1 In 0.5000 0.0000 0.0000  2 Y 2.99
2 Y 0.0000 0.0000 0.0000  6 In 2.99
3 In 0.0000 0.5000 0.0000  2 Y 2.99
4 In 0.0000 0.0000 0.5000  2 Y 2.99
5 C 0.5000 0.5000 0.5000  12 In 4.23

=====

Entry 8:
Entry from Alexandria via LeMat-Bulk: Tb2HoNpAs4 after structural relaxation (GGA-PBE).

Values from the calculation:
total moment: 0.469 μB/atom
density of states at the Fermi level: 11.531 states/eV per cell
final energy: -6.987 eV per atom
symmetry: No. 10
DFT formation energy: -1315.2 meV per atom

Cell: 4.1129 7.1296 7.1335 Å, 109.31 90.00 90.00°
Last column: nearest neighbours and their distance in Å.
Positions (direct):
1 As 0.5000 0.7517 0.7534  2 Np 2.90, 1 Ho 2.90, 3 Tb 2.92-2.93
2 Tb 0.5000 0.0000 0.5000  6 As 2.92
3 Ho 0.5000 0.5000 0.0000  6 As 2.90
4 Tb 0.0000 0.5000 0.5000  6 As 2.93
5 As 0.0000 0.2494 0.7539  1 Np 2.88, 2 Ho 2.90, 3 Tb 2.92-2.93
6 As 0.0000 0.7506 0.2461  1 Np 2.88, 2 Ho 2.90, 3 Tb 2.92-2.93
7 As 0.5000 0.2483 0.2466  2 Np 2.90, 1 Ho 2.90, 3 Tb 2.92-2.93
8 Np 0.0000 0.0000 0.0000  6 As 2.88-2.90

=====

What did the fourth record say?
Entry from Alexandria via LeMat-Bulk: Rb2LaO2F2 after structural relaxation (GGA-PBE).

Values from the calculation:
formation energy without anion corrections: -2.604 eV per atom
total moment: 0.145 μB/atom
density of states at the Fermi level: 1.938 states/eV per cell
final energy: -5.536 eV per atom
symmetry: No. 139

Cell: 4.5680 4.5680 8.0769 Å, 106.43 106.43 90.00°
Last column: nearest neighbours and their distance in Å.
Positions (direct):
1 Rb 0.3506 0.3506 0.7012  1 F 2.76
2 Rb 0.6494 0.6494 0.2988  1 F 2.76
3 La 0.0000 0.0000 0.0000  4 O 2.28, 2 F 2.43
4 F 0.1639 0.1639 0.3277  1 La 2.43
5 O 0.5000 0.0000 0.0000  2 La 2.28
6 O 0.0000 0.5000 0.0000  2 La 2.28
7 F 0.8361 0.8361 0.6723  1 La 2.43